Record 1
Bi12SbO20 | Alexandria | SCAN | single point on PBEsol structure; formation energy from raw total energies = -1.13 eV/atom; spin magnetization = 0.0306 μB per atom; space-group type = No. 197
1.0
-5.0998 5.0998 5.0998
5.0998 -5.0998 5.0998
5.0998 5.0998 -5.0998
Bi Sb O
12 1 20
direct
0.1465 0.3066 0.8089
0.1600 0.8535 0.6623
0.1911 0.4977 0.3377
0.3066 0.8089 0.1465
0.3377 0.1911 0.4977
0.4977 0.3377 0.1911
0.5023 0.6934 0.8400
0.6623 0.1600 0.8535
0.6934 0.8400 0.5023
0.8089 0.1465 0.3066
0.8400 0.5023 0.6934
0.8535 0.6623 0.1600
0.0000 0.0000 0.0000
0.0000 0.0000 0.2266
0.0000 0.0000 0.6147
0.0000 0.2266 0.0000
0.0000 0.6147 0.0000
0.1182 0.7559 0.3750
0.2266 0.0000 0.0000
0.2441 0.3622 0.6191
0.2568 0.6378 0.8818
0.3622 0.6191 0.2441
0.3750 0.1182 0.7559
0.3809 0.7432 0.6250
0.3853 0.3853 0.3853
0.6147 0.0000 0.0000
0.6191 0.2441 0.3622
0.6250 0.3809 0.7432
0.6378 0.8818 0.2568
0.7432 0.6250 0.3809
0.7559 0.3750 0.1182
0.7734 0.7734 0.7734
0.8818 0.2568 0.6378

Record 2
BiSbTeO2 | Alexandria | SCAN | single point on PBEsol structure; formation energy from raw total energies = -0.37 eV/atom; spin magnetization = 0.0000 μB per atom; space-group type = No. 123
1.0
4.1071 0.0000 0.0000
0.0000 4.1071 0.0000
0.0000 0.0000 6.4380
Bi Sb Te O
1 1 1 2
direct
0.0000 0.0000 0.0000
0.0000 0.0000 0.5000
0.5000 0.5000 0.0000
0.0000 0.5000 0.5000
0.5000 0.0000 0.5000

Record 3
BiSbWO6 | Alexandria | SCAN | single point on PBEsol structure; formation energy from raw total energies = -1.74 eV/atom; spin magnetization = 0.0000 μB per atom; space-group type = No. 5
1.0
8.3034 -2.7204 0.0000
8.3034 2.7204 0.0000
-0.0625 0.0000 5.4045
Bi Sb W O
2 2 2 12
direct
0.1704 0.1704 0.0243
0.8296 0.8296 0.9757
0.3301 0.3181 0.5371
0.6819 0.6699 0.4629
0.4486 0.5514 0.0000
0.9459 0.0541 0.5000
0.1393 0.8171 0.2498
0.1829 0.8607 0.7502
0.2807 0.5026 0.9077
0.4599 0.0523 0.7774
0.4617 0.0349 0.2862
0.4974 0.7193 0.0923
0.6431 0.3135 0.2455
0.6865 0.3569 0.7545
0.7711 0.0129 0.5837
0.9477 0.5401 0.2226
0.9651 0.5383 0.7138
0.9871 0.2289 0.4163

Record 4
ScBiO3 | Alexandria | SCAN | single point on PBEsol structure; formation energy from raw total energies = -2.49 eV/atom; spin magnetization = 0.0000 μB per atom; space-group type = No. 161
1.0
2.8560 1.6489 4.7664
-2.8560 1.6489 4.7664
0.0000 -3.2979 4.7664
Sc Bi O
2 2 6
direct
0.0000 0.0000 0.0000
0.5000 0.5000 0.5000
0.2190 0.2190 0.2190
0.7190 0.7190 0.7190
0.1686 0.7931 0.3453
0.2931 0.6686 0.8453
0.3453 0.1686 0.7931
0.6686 0.8453 0.2931
0.7931 0.3453 0.1686
0.8453 0.2931 0.6686

Record 5
ScBiO3 | Alexandria | SCAN | single point on PBEsol structure; formation energy from raw total energies = -2.49 eV/atom; spin magnetization = 0.0000 μB per atom; space-group type = No. 62
1.0
5.8404 0.0000 0.0000
0.0000 7.9903 0.0000
0.0000 0.0000 5.5350
Sc Bi O
4 4 12
direct
0.0000 0.0000 0.0000
0.0000 0.5000 0.0000
0.5000 0.0000 0.5000
0.5000 0.5000 0.5000
0.0486 0.2500 0.4889
0.4514 0.7500 0.9889
0.5486 0.2500 0.0111
0.9514 0.7500 0.5111
0.0376 0.7500 0.1143
0.1916 0.5546 0.6846
0.1916 0.9454 0.6846
0.3084 0.0546 0.1846
0.3084 0.4454 0.1846
0.4624 0.2500 0.6143
0.5376 0.7500 0.3857
0.6916 0.5546 0.8154
0.6916 0.9454 0.8154
0.8084 0.0546 0.3154
0.8084 0.4454 0.3154
0.9624 0.2500 0.8857

Record 6
Sc2BiO2 | Alexandria | SCAN | single point on PBEsol structure; formation energy from raw total energies = -2.79 eV/atom; spin magnetization = 0.0000 μB per atom; space-group type = No. 139
1.0
-1.8201 1.8201 6.3365
1.8201 -1.8201 6.3365
1.8201 1.8201 -6.3365
Sc Bi O
2 1 2
direct
0.1724 0.1724 0.0000
0.8276 0.8276 0.0000
0.5000 0.5000 0.0000
0.2500 0.7500 0.5000
0.7500 0.2500 0.5000

Question: Which of these has the highest spin magnetization?
Answer: Bi12SbO20